LaFe3O: relaxed, PBE+U.

Lattice parameters (Å, degrees): 4.532 4.532 4.532 90.00 90.00 90.00
Space group Pm-3m (No. 221)
Unique sites:
La 0.000 0.000 0.000 [1 per cell]
Fe 0.000 0.500 0.500 [3 per cell]
O 0.500 0.500 0.500 [1 per cell]

Properties
The crystal system is cubic. The calculation puts the energy above the most stable polymorph in this dataset at 0 meV per atom.